SrZn5 | SCAN | single point on PBEsol structure

Results
The value obtained for the density of states at the Fermi level is 2.000 states/eV per cell. Its formation energy from the elements is -0.261 eV per atom. Its space group is P6/mmm, No. 191. The total energy comes out at -15.24 eV per atom.

a b c (Å): 5.420 5.420 4.187
angles (deg): 90.00 90.00 120.00
Fractional positions:
Sr (0.000, 0.000, 0.000)
Zn (0.000, 0.500, 0.500)
Zn (0.333, 0.667, 0.000)
Zn (0.500, 0.000, 0.500)
Zn (0.500, 0.500, 0.500)
Zn (0.667, 0.333, 0.000)